Entry 1:
TaNO | Alexandria | GGA-PBEsol | relaxed; crystal system = monoclinic
1.0
4.9560 0.0000 0.0000
0.0000 5.0288 0.0000
-0.8832 0.0000 5.1003
Ta N O
4 4 4
direct
0.2058 0.0461 0.2845
0.2058 0.4539 0.7845
0.7942 0.5461 0.2155
0.7942 0.9539 0.7155
0.0591 0.7440 0.5193
0.0591 0.7560 0.0193
0.9409 0.2440 0.9807
0.9409 0.2560 0.4807
0.4373 0.1733 0.6534
0.4373 0.3267 0.1534
0.5627 0.6733 0.8466
0.5627 0.8267 0.3466

---

Entry 2:
TaNO | Alexandria | GGA-PBEsol | relaxed; crystal system = monoclinic
1.0
6.5277 -1.9328 0.0000
6.5277 1.9328 0.0000
-2.0307 0.0000 6.3840
Ta N O
4 4 4
direct
0.1025 0.1025 0.2050
0.1897 0.1897 0.8053
0.8103 0.8103 0.1947
0.8975 0.8975 0.7950
0.0543 0.0543 0.8624
0.2589 0.2589 0.1474
0.7411 0.7411 0.8526
0.9457 0.9457 0.1376
0.1410 0.1410 0.5059
0.3648 0.3648 0.7909
0.6352 0.6352 0.2091
0.8590 0.8590 0.4941

---

Entry 3:
TaTcN2O | Alexandria | GGA-PBEsol | relaxed; crystal system = tetragonal
1.0
3.8379 0.0000 0.0000
0.0000 3.8379 0.0000
0.0000 0.0000 3.6900
Ta Tc N O
1 1 2 1
direct
0.0000 0.0000 0.0000
0.5000 0.5000 0.5000
0.0000 0.5000 0.5000
0.5000 0.0000 0.5000
0.5000 0.5000 0.0000

---

The following theoretical density values (in g cm⁻³) correspond, in order, to the records above: 11.02; 8.70; 9.87.
The following uncorrected formation energy values (in eV per atom) correspond, in order, to the records above: -2.03; -1.96; 0.19.